{"formula": "NaS2O6", "functional": "PBE", "state": "optimized geometry", "formation_energy_uncorrected_ev_per_atom": -1.1761, "e_above_lowest_polymorph_mev_per_atom": 66, "space_group": "P-3m1, No. 164", "m_tot_mub_per_cell": 1.0, "lattice_angstrom": [[6.0493, 0.0000, 0.0000], [-3.0246, 5.2388, 0.0000], [0.0000, 0.0000, 5.1973]], "species": ["Na", "S", "S", "O", "O", "O", "O", "O", "O"], "frac_coords": [[0.0000, 0.0000, 0.0000], [0.3333, 0.6667, 0.2009], [0.6667, 0.3333, 0.7991], [0.1958, 0.3916, 0.2484], [0.1958, 0.8042, 0.2484], [0.3916, 0.1958, 0.7516], [0.6084, 0.8042, 0.2484], [0.8042, 0.1958, 0.7516], [0.8042, 0.6084, 0.7516]]}